# 1
6
Lattice="-1.909 -4.426 -2.454 4.945 -2.189 0.101 -2.402 1.492 5.139" Properties=species:S:1:pos:R:3 comment="GGA-PBE LiTcO4, optimized geometry" formation_energy_uncorrected_kj_per_mol_atoms=-159.1 pbc="T T T"
Li -1.397 -3.121 0.754
Tc 1.518 -3.308 -1.177
O 2.705 -3.764 0.007
O -0.069 -3.671 -0.570
O -0.761 -0.112 3.642
O -0.608 -2.699 2.491

***

# 2
4
Lattice="5.276 -0.004 0.000 -2.262 4.767 0.000 0.000 0.000 2.893" Properties=species:S:1:pos:R:3 comment="GGA-PBE In2ReW, optimized geometry" de_polymorph_ev_per_atom=0.5630 pbc="T T T"
In 0.000 0.000 0.000
In 1.507 2.381 0.000
Re 2.638 -0.002 1.446
W -1.131 2.383 1.446

***

# 3
20
Lattice="5.464 0.000 0.000 0.000 5.478 0.000 0.000 0.000 7.738" Properties=species:S:1:pos:R:3 comment="GGA-PBE Nd2AlRuO6, optimized geometry" formation_energy_uncorrected_kj_per_mol_atoms=-242.5 pbc="T T T"
Nd 2.732 4.109 1.928
Nd 0.000 1.369 5.797
Nd 2.732 4.109 5.809
Nd 0.000 1.369 1.941
Al 2.732 1.369 3.869
Al 0.000 4.109 0.000
Ru 0.000 4.108 3.869
Ru 2.732 1.370 0.000
O 2.732 1.369 2.008
O 2.732 1.369 5.730
O 0.000 4.109 1.861
O 0.000 4.109 5.877
O 1.414 0.055 3.869
O 4.050 0.055 3.869
O 1.414 2.684 3.869
O 4.050 2.684 3.869
O 4.146 2.794 0.000
O 1.318 2.794 0.000
O 1.318 5.423 0.000
O 4.147 5.423 0.000

***

Number 1: spin magnetization 0.00 μB per formula unit. Number 2: spin magnetization 0.00 μB per formula unit. Number 3: spin magnetization 0.94 μB per formula unit.